1.
# Er2ZnCd3, optimized geometry, DFT PBE
data_Er2ZnCd3
_chemical_formula_sum 'Er2 Zn1 Cd3'
_cell_length_a 3.4071
_cell_length_b 4.8477
_cell_length_c 8.3723
_cell_angle_alpha 90.00
_cell_angle_beta 90.00
_cell_angle_gamma 90.00
_symmetry_space_group_name_H-M 'P 1'
_symmetry_Int_Tables_number 1
loop_
_symmetry_equiv_pos_as_xyz
'x,y,z'
loop_
_atom_site_label
_atom_site_type_symbol
_atom_site_fract_x
_atom_site_fract_y
_atom_site_fract_z
Er1 Er 0.0000 0.5000 0.0093
Er2 Er 0.0000 0.0000 0.4931
Zn1 Zn 0.5000 0.5000 0.3322
Cd1 Cd 0.5000 0.0000 0.8329
Cd2 Cd 0.5000 0.0000 0.1735
Cd3 Cd 0.5000 0.5000 0.6589
# V, Å³ per cell: 138
# E_tot, eV/atom: -2.490
# Formation energy from the elements, kJ per mole of atoms: -28.9

***

2.
# BaBe2Cu, optimized geometry, DFT PBE
data_BaBe2Cu
_chemical_formula_sum 'Ba1 Be2 Cu1'
_cell_length_a 4.9391
_cell_length_b 4.9391
_cell_length_c 3.0804
_cell_angle_alpha 90.00
_cell_angle_beta 90.00
_cell_angle_gamma 89.92
_symmetry_space_group_name_H-M 'P 1'
_symmetry_Int_Tables_number 1
loop_
_symmetry_equiv_pos_as_xyz
'x,y,z'
loop_
_atom_site_label
_atom_site_type_symbol
_atom_site_fract_x
_atom_site_fract_y
_atom_site_fract_z
Be1 Be 0.0000 0.0000 0.0000
Be2 Be 0.5000 0.5000 0.0000
Ba1 Ba 0.0000 0.5000 0.5000
Cu1 Cu 0.5000 0.0000 0.5000
# V, Å³ per cell: 75
# Offset from the most stable computed form, eV per atom: 0.972
# E_tot, eV/atom: -2.290
# Formation energy from the elements, kJ per mole of atoms: 104.0